The following is a PBE calculation of a geometry-optimized ScSbOs structure, from Alexandria via LeMat-Bulk.

abc: 4.534 4.534 3.221
angles: 90.00 90.00 120.00
Element x y z (fractional)
Os: 0.000 0.000 0.166
Sc: 0.333 0.667 0.667
Sb: 0.667 0.333 0.167

Computed properties:
- Crystal system: hexagonal
- Formation energy (no corrections): -278 meV/atom


The following is a PBE calculation of a geometry-optimized Na2Li2Ca structure, from Alexandria via LeMat-Bulk.

abc: 9.261 9.261 3.642
angles: 90.00 90.00 90.00
Element x y z (fractional)
Na: 0.874 0.626 0.000
Na: 0.374 0.874 0.000
Na: 0.626 0.126 0.000
Na: 0.126 0.374 0.000
Li: 0.325 0.175 0.500
Li: 0.675 0.825 0.500
Li: 0.175 0.675 0.500
Li: 0.825 0.325 0.500
Ca: 0.000 0.000 0.000
Ca: 0.500 0.500 0.000

Computed properties:
- Crystal system: tetragonal
- Excess energy over the best structure of this formula in the dataset: 32 meV/atom
- Energy of formation from the pure elements: 0.090 eV per atom


The following is a PBE calculation of a geometry-optimized Pr2Nd3Ho3 structure, from Alexandria via LeMat-Bulk.

abc: 5.129 5.144 10.878
angles: 103.68 103.64 90.00
Element x y z (fractional)
Pr: 0.250 0.750 0.499
Pr: 0.750 0.250 0.501
Ho: 0.624 0.624 0.247
Ho: 0.376 0.376 0.753
Ho: 0.500 0.000 0.000
Nd: 0.877 0.877 0.755
Nd: 0.123 0.123 0.245
Nd: 0.000 0.500 0.000

Computed properties:
- Crystal system: orthorhombic
- Excess energy over the best structure of this formula in the dataset: 0 meV/atom
- Energy of formation from the pure elements: 0.019 eV per atom


The following is a PBE calculation of a geometry-optimized Rb2CaI3Br structure, from Alexandria via LeMat-Bulk.

abc: 5.700 6.143 10.316
angles: 107.32 106.04 90.00
Element x y z (fractional)
I: 0.000 0.500 0.000
I: 0.834 0.834 0.668
I: 0.166 0.166 0.332
Rb: 0.640 0.640 0.280
Rb: 0.360 0.360 0.720
Br: 0.500 0.000 0.000
Ca: 0.000 0.000 0.000

Computed properties:
- Crystal system: orthorhombic
- Formation energy (no corrections): -1621 meV/atom


The following is a PBE calculation of a geometry-optimized CrPt2Cl structure, from Alexandria via LeMat-Bulk.

abc: 4.960 4.960 2.905
angles: 90.00 90.00 113.58
Element x y z (fractional)
Pt: 0.500 0.500 0.000
Pt: 0.000 0.000 0.000
Cr: 0.000 0.500 0.500
Cl: 0.500 0.000 0.500

Computed properties:
- Crystal system: orthorhombic
- Formation energy (no corrections): 503 meV/atom
- Excess energy over the best structure of this formula in the dataset: 522 meV/atom


The following is a PBE calculation of a geometry-optimized KCr2Te structure, from Alexandria via LeMat-Bulk.

abc: 5.677 5.677 5.677
angles: 126.78 111.15 92.31
Element x y z (fractional)
Cr: 0.808 0.308 0.500
Cr: 0.029 0.029 0.000
K: 0.493 0.493 0.000
Te: 0.169 0.669 0.500

Computed properties:
- Crystal system: orthorhombic
- Formation energy (no corrections): 710 meV/atom


The following is a PBE calculation of a geometry-optimized Cs2HgSe2 structure, from Alexandria via LeMat-Bulk.

abc: 7.344 8.706 9.826
angles: 118.92 90.00 114.95
Element x y z (fractional)
Cs: 0.329 0.659 0.412
Cs: 0.961 0.922 0.223
Cs: 0.039 0.078 0.777
Cs: 0.671 0.341 0.588
Se: 0.528 0.055 0.821
Se: 0.190 0.380 0.610
Se: 0.472 0.945 0.179
Se: 0.810 0.620 0.390
Hg: 0.353 0.707 0.876
Hg: 0.647 0.293 0.124

Computed properties:
- Crystal system: monoclinic
- Formation energy (no corrections): -851 meV/atom
- Excess energy over the best structure of this formula in the dataset: 48 meV/atom


The following is a PBE calculation of a geometry-optimized Li3AlCu7 structure, from Alexandria via LeMat-Bulk.

abc: 4.824 6.579 6.579
angles: 83.24 121.14 121.14
Element x y z (fractional)
Cu: 0.335 0.075 0.577
Cu: 0.665 0.925 0.423
Cu: 0.000 0.500 0.500
Cu: 0.665 0.423 0.925
Cu: 0.667 0.808 0.808
Cu: 0.333 0.192 0.192
Cu: 0.335 0.577 0.075
Li: 0.000 0.770 0.230
Li: 0.500 0.000 0.000
Li: 0.000 0.230 0.770
Al: 0.500 0.500 0.500

Computed properties:
- Crystal system: monoclinic
- Energy of formation from the pure elements: 0.125 eV per atom